A geometry-optimized LiTaZn structure, computed with PBE.

a = 6.0957 Å, b = 6.0957 Å, c = 6.0957 Å
α = 90.00°, β = 90.00°, γ = 90.00°
Space group F-43m (No. 216)
Asymmetric unit:
Li 0.0000 0.0000 0.0000
Ta 0.2500 0.2500 0.7500
Zn 0.0000 0.0000 0.5000

A geometry-optimized LiTaZn structure, computed with PBE.

a = 2.8607 Å, b = 2.8607 Å, c = 45.2392 Å
α = 90.00°, β = 90.00°, γ = 120.00°
Space group R-3m (No. 166, hexagonal axes)
Asymmetric unit:
Li 0.0000 0.0000 0.1944
Ta 0.0000 0.0000 0.3619
Zn 0.0000 0.0000 0.2521

A geometry-optimized LiTaZn structure, computed with PBE.

a = 4.1672 Å, b = 3.7894 Å, c = 12.5352 Å
α = 90.00°, β = 90.07°, γ = 90.00°
Space group C2/m (No. 12)
Asymmetric unit:
Li 0.2504 0.0000 0.0908
Ta 0.2500 0.0000 0.4076
Zn 0.2492 0.0000 0.7597

A geometry-optimized LiTa2Zn structure, computed with PBE.

a = 2.7370 Å, b = 4.8496 Å, c = 5.1138 Å
α = 90.00°, β = 100.89°, γ = 90.00°
Space group P2/m (No. 10)
Asymmetric unit:
Li 0.0000 0.0000 0.0000
Ta 0.2450 0.5000 0.7500
Zn 0.5000 0.0000 0.5000

A geometry-optimized LiTa2Zn structure, computed with PBE.

a = 3.1259 Å, b = 4.4105 Å, c = 4.8155 Å
α = 90.00°, β = 90.00°, γ = 90.00°
Space group Pmmm (No. 47)
Asymmetric unit:
Li 0.0000 0.0000 0.0000
Ta 0.0000 0.5000 0.5000
Ta 0.5000 0.0000 0.5000
Zn 0.5000 0.5000 0.0000

A geometry-optimized Li2TaZn structure, computed with PBE.

a = 6.9602 Å, b = 6.9602 Å, c = 5.2772 Å
α = 90.00°, β = 90.00°, γ = 90.00°
Space group I-42d (No. 122)
Asymmetric unit:
Li 0.2167 0.2500 0.1250
Ta 0.0000 0.0000 0.5000
Zn 0.0000 0.0000 0.0000

no.,formation enthalpy at 0 K (kJ/mol of atoms)
1,110
2,13
3,-2
4,24
5,23
6,67